The following is a GGA-PBE calculation of a geometry-optimized Bi4Pb structure, from Alexandria via LeMat-Bulk.

a b c (Å): 5.885 5.885 5.885
angles (deg): 90.00 90.00 90.00
Fractional positions:
Bi 0.000 0.000 0.000
Bi 0.000 0.500 0.500
Bi 0.500 0.000 0.500
Bi 0.500 0.500 0.000
Pb 0.500 0.500 0.500

* ΔE to the lowest computed polymorph: 0.683 eV per atom
* E: -3.047 eV/atom
* energy of formation: 0.799 eV/atom
* V: 40.76 A^3/atom